# 1
# TeOsAu

TeOsAu after structural relaxation (GGA-PBE, Alexandria via LeMat-Bulk).

Summary:
As for the crystal system: trigonal. The value obtained for the offset from the most stable computed form is 69.1 meV per atom. As for the energy relative to the elements, uncorrected: 618 meV/atom. The calculation puts the magnetization at 0.00 μB per formula unit. Its space group is P3m1 (156). The electronic total energy is -0.3870 Ry per atom.

Cell lengths 3.2282, 3.2282, 6.7501 Å; angles 90.00, 90.00, 120.00 degrees
Sites, in units of the cell vectors:
Au 0.0000 0.0000 0.0322
Os 0.6667 0.3333 0.3483
Te 0.3333 0.6667 0.6194

***

# 2
# NpNbSe

NpNbSe after structural relaxation (GGA-PBE, Alexandria via LeMat-Bulk).

Summary:
As for the crystal system: orthorhombic. As for the energy relative to the elements, uncorrected: 352 meV/atom. The calculation puts the magnetization at 0.57 μB per formula unit. Its space group is Pmmn (59). The electronic total energy is -0.6232 Ry per atom.

Cell lengths 3.7072, 5.9219, 6.2448 Å; angles 90.00, 90.00, 90.00 degrees
Site moments in Bohr magnetons follow the coordinates.
Sites, in units of the cell vectors:
Nb 0.5000 0.5000 0.1888  -0.07
Nb 0.0000 0.0000 0.8112  -0.07
Se 0.5000 0.5000 0.6294  -0.02
Se 0.0000 0.0000 0.3706  -0.02
Np 0.0000 0.5000 0.9502  0.68
Np 0.5000 0.0000 0.0498  0.68

***

# 3
# Tb3PuTl4

Tb3PuTl4 after structural relaxation (GGA-PBE, Alexandria via LeMat-Bulk).

Summary:
As for the crystal system: tetragonal. The calculation puts the magnetization at 5.55 μB per formula unit. Its space group is P4/mmm (123). The electronic total energy is -0.3653 Ry per atom. As for the energy of formation from the pure elements: -2.07 eV/f.u.

Cell lengths 3.5702, 3.5702, 17.3035 Å; angles 90.00, 90.00, 90.00 degrees
Site moments in Bohr magnetons follow the coordinates.
Sites, in units of the cell vectors:
Tl 0.0000 0.0000 0.8714  -0.02
Tl 0.0000 0.0000 0.1286  -0.02
Tl 0.0000 0.0000 0.3765  0.00
Tl 0.0000 0.0000 0.6235  0.00
Tb 0.5000 0.5000 0.2532  -0.18
Tb 0.5000 0.5000 0.5000  0.13
Tb 0.5000 0.5000 0.7468  -0.18
Pu 0.5000 0.5000 0.0000  5.54